i | An optimized crystal structure of CsAuNF2, computed with PBE-GGA.

The space group is P4/mmm (No. 123) and the conventional cell measures 5.300, 5.300 and 4.932 Å, with angles of 90.00, 90.00 and 90.00 degrees. The asymmetric unit holds Cs at (0.000, 0.000, 0.000), Au at (0.500, 0.500, 0.500), N at (0.000, 0.000, 0.500) and F at (0.000, 0.500, 0.000).

Its calculated volume is 139 Å³ per cell.

=====

ii | An optimized crystal structure of CsAuNF2, computed with PBE-GGA.

The space group is P4/mmm (No. 123) and the conventional cell measures 5.016, 5.016 and 3.776 Å, with angles of 90.00, 90.00 and 90.00 degrees. The asymmetric unit holds Cs at (0.000, 0.000, 0.000), Au at (0.500, 0.500, 0.500), N at (0.500, 0.500, 0.000) and F at (0.000, 0.500, 0.500).

Its calculated volume is 95 Å³ per cell.

=====

If you had to bet on the most stable structure above, which would it be? Bet on ii.